1.
The following is a GGA-PBE calculation of a relaxed Cr2FeRe crystal, from Alexandria via LeMat-Bulk.

a = 2.537 Å, b = 4.121 Å, c = 4.890 Å
α = 90.00°, β = 100.30°, γ = 90.00°
Fractional positions:
Cr 0.000 0.000 0.000
Cr 0.233 0.500 0.762
Fe 0.760 0.500 0.243
Re 0.485 0.000 0.501

Computed properties:
- Total energy: -9.95 eV per atom
- Relative energy among the computed polymorphs: 0.011 eV/atom
- Space-group type: Pm, No. 6
- N(E_F): 0.9199 states/eV per atom



2.
The following is a GGA-PBE calculation of a relaxed SrTaBr3 crystal, from Alexandria via LeMat-Bulk.

a = 5.915 Å, b = 5.915 Å, c = 5.915 Å
α = 90.00°, β = 90.00°, γ = 90.00°
Fractional positions:
Sr 0.000 0.000 0.000
Ta 0.500 0.500 0.500
Br 0.000 0.000 0.500
Br 0.000 0.500 0.000
Br 0.500 0.000 0.000

Computed properties:
- Uncorrected formation energy: 43 meV/atom
- Total energy: -3.67 eV per atom
- Relative energy among the computed polymorphs: 0.381 eV/atom
- Space-group type: Pm-3m, No. 221
- N(E_F): 0.0000 states/eV per atom



3.
The following is a GGA-PBE calculation of a relaxed AsRhBr crystal, from Alexandria via LeMat-Bulk.

a = 4.404 Å, b = 4.404 Å, c = 4.404 Å
α = 60.00°, β = 60.00°, γ = 60.00°
Fractional positions:
As 0.000 0.000 0.000
Rh 0.750 0.750 0.750
Br 0.500 0.500 0.500

Computed properties:
- Uncorrected formation energy: 67 meV/atom
- Total energy: -4.49 eV per atom
- Relative energy among the computed polymorphs: 0.330 eV/atom
- Space-group type: F-43m, No. 216
- N(E_F): 0.9823 states/eV per atom



4.
The following is a GGA-PBE calculation of a relaxed Cr2CoHg crystal, from Alexandria via LeMat-Bulk.

a = 3.772 Å, b = 3.772 Å, c = 4.051 Å
α = 90.00°, β = 90.00°, γ = 90.00°
Fractional positions:
Cr 0.000 0.500 0.000
Cr 0.500 0.000 0.000
Co 0.000 0.000 0.500
Hg 0.500 0.500 0.500

Computed properties:
- Total energy: -6.26 eV per atom
- Space-group type: P4/mmm, No. 123
- N(E_F): 0.9738 states/eV per atom



Question: What is the formula in the first record?
Answer: Cr2FeRe